(1)
This record from Alexandria via LeMat-Bulk describes a relaxed structure of VCrSn2Ge. The functional is GGA-PBE.

The calculation puts the total magnetization at 0.70 μB/atom. The value obtained for the formation energy is 1.22 eV/atom. The density is 5.5 Mg/m³. For the total DFT energy (no corrections), the calculation gives -5.05 eV/atom.

Geometry as POSCAR:
```
VCrSn2Ge
1.0
5.2407 0.0000 0.0000
0.0000 5.2407 0.0000
0.0000 0.0000 4.5669
V Cr Sn Ge
1 1 2 1
Cartesian
0.0000 0.0000 0.0000
2.6204 2.6204 0.0000
0.0000 2.6204 2.2834
2.6204 0.0000 2.2834
2.6204 2.6204 2.2834
```

=====

(2)
This record from Alexandria via LeMat-Bulk describes a relaxed structure of BaScBe. The functional is GGA-PBE.

The calculation puts the total magnetization at 0.00 μB/atom. The value obtained for the formation energy is 0.52 eV/atom. The value obtained for the relative energy among the computed polymorphs is 0.53 eV per formula unit. The density is 3.5 Mg/m³. For the total DFT energy (no corrections), the calculation gives -3.47 eV/atom.

Geometry as POSCAR:
```
BaScBe
1.0
4.4995 0.0000 0.0000
-2.2497 3.8966 0.0000
0.0000 0.0000 5.2283
Ba Sc Be
1 1 1
Cartesian
0.0000 0.0000 0.0000
0.0000 2.5978 2.6141
2.2497 1.2989 2.6141
```

=====

(3)
This record from Alexandria via LeMat-Bulk describes a relaxed structure of Cs2AlNi2. The functional is GGA-PBE.

The calculation puts the total magnetization at 0.00 μB/atom. The value obtained for the formation energy is 0.58 eV/atom. The density is 5.2 Mg/m³. For the total DFT energy (no corrections), the calculation gives -2.82 eV/atom.

Geometry as POSCAR:
```
Cs2AlNi2
1.0
6.6815 0.0000 0.0000
0.0000 6.6815 0.0000
0.0000 0.0000 5.9095
Cs Al Ni
4 2 4
Cartesian
1.2324 2.1083 0.0000
2.1083 5.4490 0.0000
4.5732 1.2324 0.0000
5.4490 4.5732 0.0000
0.0000 0.0000 2.9548
3.3407 3.3407 2.9548
0.8713 4.2121 2.9548
2.4694 0.8713 2.9548
4.2121 5.8101 2.9548
5.8101 2.4694 2.9548
```

=====

(4)
This record from Alexandria via LeMat-Bulk describes a relaxed structure of BaSrTm4O8. The functional is GGA-PBE.

The calculation puts the total magnetization at 0.00 μB/atom. The density is 8.2 Mg/m³. For the total DFT energy (no corrections), the calculation gives -7.74 eV/atom. The raw formation energy is -3372 meV per atom.

Geometry as POSCAR:
```
BaSrTm4O8
1.0
3.3997 0.0000 0.0000
0.0000 11.9688 0.0000
0.0000 0.0000 10.2412
Ba Sr Tm O
2 2 8 16
Cartesian
0.0000 1.1901 0.0000
0.0000 10.7787 5.1206
1.6998 4.7725 5.1995
1.6998 7.1963 0.0789
0.0000 1.7164 3.3595
0.0000 4.3342 8.5125
0.0000 7.6346 3.3920
0.0000 10.2525 8.4801
1.6998 1.7345 6.9101
1.6998 4.3777 1.8630
1.6998 7.5911 6.9836
1.6998 10.2343 1.7896
0.0000 0.4059 7.5154
0.0000 3.2748 6.4877
0.0000 3.9434 3.3825
0.0000 5.0052 0.4574
0.0000 6.9637 5.5779
0.0000 8.0254 8.5030
0.0000 8.6940 1.3671
0.0000 11.5629 2.3949
1.6998 1.1304 4.7408
1.6998 2.1563 1.8991
1.6998 2.8132 8.8936
1.6998 5.5908 7.9043
1.6998 6.3781 2.7837
1.6998 9.1556 3.7731
1.6998 9.8125 7.0197
1.6998 10.8384 9.8614
```

=====

(5)
This record from Alexandria via LeMat-Bulk describes a relaxed structure of Sc4Tl5O. The functional is GGA-PBE.

The calculation puts the total magnetization at 0.00 μB/atom. The density is 8.8 Mg/m³. For the total DFT energy (no corrections), the calculation gives -4.86 eV/atom. The raw formation energy is -651 meV per atom.

Geometry as POSCAR:
```
Sc4Tl5O
1.0
8.3512 -1.7027 0.0000
8.3512 1.7027 0.0000
-1.4320 0.0000 8.1074
Sc Tl O
4 5 1
Cartesian
-0.4486 0.0000 2.6183
5.3925 0.0000 3.6391
9.8778 0.0000 4.4684
15.7189 0.0000 5.4891
1.5658 0.0000 7.1754
2.6102 0.0000 2.1434
8.3512 0.0000 0.0000
12.6601 0.0000 5.9640
13.7045 0.0000 0.9320
7.6352 0.0000 4.0537
```

=====

(6)
This record from Alexandria via LeMat-Bulk describes a relaxed structure of CsZrNbRu2. The functional is GGA-PBE.

The calculation puts the total magnetization at 0.17 μB/atom. The value obtained for the formation energy is 1.36 eV/atom. The density is 6.8 Mg/m³. For the total DFT energy (no corrections), the calculation gives -6.24 eV/atom.

Geometry as POSCAR:
```
CsZrNbRu2
1.0
4.9230 0.0000 0.0000
0.0000 4.9230 0.0000
0.0000 0.0000 5.2679
Cs Zr Nb Ru
1 1 1 2
Cartesian
0.0000 0.0000 0.0000
2.4615 2.4615 0.0000
2.4615 2.4615 2.6339
0.0000 2.4615 2.6339
2.4615 0.0000 2.6339
```

=====

(7)
This record from Alexandria via LeMat-Bulk describes a relaxed structure of Nd2GdEr. The functional is GGA-PBE.

The calculation puts the total magnetization at 2.02 μB/atom. The value obtained for the formation energy is 0.11 eV/atom. The value obtained for the relative energy among the computed polymorphs is 0.37 eV per formula unit. The density is 7.6 Mg/m³. For the total DFT energy (no corrections), the calculation gives -6.94 eV/atom.

Geometry as POSCAR:
```
Nd2GdEr
1.0
8.1327 0.0000 0.0000
0.0000 8.1327 0.0000
0.0000 0.0000 8.1327
Nd Gd Er
8 4 4
Cartesian
2.0332 2.0332 2.0332
2.0332 2.0332 6.0995
2.0332 6.0995 2.0332
2.0332 6.0995 6.0995
6.0995 2.0332 2.0332
6.0995 2.0332 6.0995
6.0995 6.0995 2.0332
6.0995 6.0995 6.0995
0.0000 0.0000 0.0000
0.0000 4.0664 4.0664
4.0664 0.0000 4.0664
4.0664 4.0664 0.0000
0.0000 0.0000 4.0664
0.0000 4.0664 0.0000
4.0664 0.0000 0.0000
4.0664 4.0664 4.0664
```

=====

(8)
This record from Alexandria via LeMat-Bulk describes a relaxed structure of SrOsRu. The functional is GGA-PBE.

The calculation puts the total magnetization at 0.00 μB/atom. The value obtained for the formation energy is 1.03 eV/atom. The value obtained for the relative energy among the computed polymorphs is 2.34 eV per formula unit. The density is 11.4 Mg/m³. For the total DFT energy (no corrections), the calculation gives -6.36 eV/atom.

Geometry as POSCAR:
```
SrOsRu
1.0
2.9121 0.0000 0.0000
-1.4561 2.5220 0.0000
0.0000 0.0000 7.5385
Sr Os Ru
1 1 1
Cartesian
0.0000 0.0000 0.0000
1.4561 0.8407 2.7635
0.0000 1.6813 4.7651
```